Below is an optimized crystal structure of Ce2ErMn, with properties calculated at the PBE level.

## Properties
Crystal system: trigonal
Energy of formation from the pure elements in meV per atom: 252
Volume in Å³/atom: 25.392
Density in g cm⁻³: 8.21
Calculated total energy in Ry/atom: -0.452
Spin magnetization in μB/atom: 0.00
N(E_F) in states/eV/cell: 7.29
Space-group type: R-3m
E above lowest polymorph in meV per atom: 35.2

a = 3.6439 Å, b = 3.6439 Å, c = 9.0798 Å
α = 78.42°, β = 78.42°, γ = 60.00°
With the nearest neighbours (Å) after each atom.
Element x y z (fractional)
1 Mn 0.0000 0.0000 0.0000  6 Ce 2.62
2 Ce 0.2745 0.2745 0.1764  3 Mn 2.62
3 Ce 0.7255 0.7255 0.8236  3 Mn 2.62
4 Er 0.5000 0.5000 0.5000  6 Ce 3.55, 6 Er 3.64